[1]
A plane-wave DFT calculation with GGA-PBE was carried out for an optimized crystal structure of Cs2Cd2Hg.

- energy above the most stable polymorph in this dataset (meV/atom) = 62
- formation enthalpy at 0 K (eV/atom) = -0.041

a b c (Å): 8.676 8.676 5.926
angles (deg): 90.00 90.00 90.00
Sites, in units of the cell vectors:
Cs  0.182  0.682  0.500
Cs  0.682  0.818  0.500
Cs  0.818  0.318  0.500
Cs  0.318  0.182  0.500
Hg  0.000  0.000  0.000
Hg  0.500  0.500  0.000
Cd  0.375  0.875  0.000
Cd  0.875  0.625  0.000
Cd  0.625  0.125  0.000
Cd  0.125  0.375  0.000


[2]
A plane-wave DFT calculation with GGA-PBE was carried out for an optimized crystal structure of Sm3CoNi8.

- formation enthalpy at 0 K (eV/atom) = -0.234

a b c (Å): 5.024 5.024 8.712
angles (deg): 73.24 73.24 60.00
Sites, in units of the cell vectors:
Sm  0.622  0.622  0.135
Sm  0.013  0.013  0.962
Sm  0.491  0.491  0.526
Co  0.138  0.138  0.586
Ni  0.564  0.059  0.812
Ni  0.060  0.557  0.323
Ni  0.564  0.564  0.812
Ni  0.060  0.060  0.323
Ni  0.810  0.810  0.569
Ni  0.311  0.311  0.066
Ni  0.059  0.564  0.812
Ni  0.557  0.060  0.323


[3]
A plane-wave DFT calculation with GGA-PBE was carried out for an optimized crystal structure of Na3MnIn3Cl8.

- energy relative to the elements, uncorrected (eV per atom) = -1.25

a b c (Å): 8.172 8.175 8.802
angles (deg): 117.70 90.00 119.99
Sites, in units of the cell vectors:
Na  0.500  0.000  0.500
Na  0.500  0.500  0.500
Na  0.000  0.500  0.500
Mn  0.000  0.000  0.500
In  0.000  0.000  0.000
In  0.000  0.500  0.000
In  0.500  0.500  0.000
Cl  0.263  0.527  0.290
Cl  0.737  0.473  0.710
Cl  0.784  0.569  0.305
Cl  0.216  0.431  0.695
Cl  0.784  0.020  0.305
Cl  0.216  0.980  0.695
Cl  0.235  0.020  0.305
Cl  0.765  0.980  0.695


[4]
A plane-wave DFT calculation with GGA-PBE was carried out for an optimized crystal structure of AcScCu3.

- formation enthalpy at 0 K (eV/atom) = -0.167

a b c (Å): 4.328 3.829 12.727
angles (deg): 98.65 90.00 90.00
Sites, in units of the cell vectors:
Ac  0.250  0.078  0.156
Ac  0.750  0.922  0.844
Sc  0.250  0.790  0.580
Sc  0.750  0.210  0.420
Cu  0.250  0.369  0.738
Cu  0.750  0.631  0.262
Cu  0.250  0.473  0.946
Cu  0.750  0.527  0.054
Cu  0.750  0.316  0.633
Cu  0.250  0.684  0.367


[5]
A plane-wave DFT calculation with GGA-PBE was carried out for an optimized crystal structure of Al2TeMo.

- energy relative to the elements, uncorrected (eV per atom) = 0.06

a b c (Å): 3.467 3.466 5.932
angles (deg): 90.00 90.00 90.00
Sites, in units of the cell vectors:
Mo  0.500  0.500  0.250
Te  0.500  0.500  0.750
Al  0.000  0.000  0.037
Al  0.000  0.000  0.463


[6]
A plane-wave DFT calculation with GGA-PBE was carried out for an optimized crystal structure of Ca2ThScBi4.

- formation enthalpy at 0 K (eV/atom) = -0.682

a b c (Å): 4.531 7.743 8.001
angles (deg): 109.22 90.00 90.00
Sites, in units of the cell vectors:
Ca  0.500  0.000  0.500
Ca  0.000  0.500  0.500
Th  0.500  0.500  0.000
Sc  0.000  0.000  0.000
Bi  0.500  0.231  0.232
Bi  0.500  0.769  0.768
Bi  0.000  0.239  0.758
Bi  0.000  0.761  0.242